Material: Y2ScCd
Method: DFT, GGA-PBE
State: optimized geometry

POSCAR file:
```
Y2ScCd
1.0
5.062 0.000 0.000
0.000 3.523 0.008
0.000 1.754 6.228
Sc Cd Y
1 1 2
direct
0.500 0.561 0.755
0.000 0.689 0.493
0.000 0.958 0.960
0.500 0.292 0.292
```

total moment = 0.00 μB per formula unit
energy relative to the elements = -0.0974 eV/atom
space group = Pm

***

Material: YScCd2
Method: DFT, GGA-PBE
State: optimized geometry

POSCAR file:
```
YScCd2
1.0
-7.273 -0.242 3.481
2.383 -6.222 4.548
-1.402 -1.133 6.339
Cd Sc Y
4 2 2
direct
0.143 0.625 0.250
0.607 0.125 0.250
0.875 0.857 0.750
0.375 0.393 0.750
0.250 0.750 0.500
0.500 0.500 0.000
0.000 0.000 0.000
0.750 0.250 0.500
```

total moment = 0.00 μB per formula unit
energy relative to the elements = 0.0927 eV/atom
space group = I-42d

***

Material: YScCd
Method: DFT, GGA-PBE
State: optimized geometry

POSCAR file:
```
YScCd
1.0
-0.884 -2.767 -4.070
4.723 -3.438 -1.763
1.342 -5.441 3.403
Sc Cd Y
2 2 2
direct
0.457 0.142 0.247
0.812 0.432 0.479
0.790 0.475 0.000
0.479 0.099 0.727
0.099 0.858 0.079
0.170 0.717 0.647
```

total moment = 0.00 μB per formula unit
energy above the most stable polymorph in this dataset = 0.16 eV/f.u.
energy relative to the elements = -0.1620 eV/atom
space group = C2/m

***

Material: YScCd
Method: DFT, GGA-PBE
State: optimized geometry

POSCAR file:
```
YScCd
1.0
0.954 -3.959 2.958
1.296 0.708 4.811
-3.210 -1.225 3.678
Cd Y Sc
1 1 1
direct
0.750 0.750 0.750
0.500 0.500 0.500
0.250 0.250 0.250
```

total moment = 0.00 μB per formula unit
energy above the most stable polymorph in this dataset = 2.37 eV/f.u.
energy relative to the elements = 0.5727 eV/atom
space group = F-43m

***

Material: YScCd
Method: DFT, GGA-PBE
State: optimized geometry

POSCAR file:
```
YScCd
1.0
5.214 0.000 0.005
0.000 3.593 -0.001
-0.033 1.800 8.229
Cd Y Sc
2 2 2
direct
0.054 0.325 0.223
0.549 0.184 0.504
0.051 0.981 0.911
0.049 0.667 0.540
0.551 0.527 0.819
0.553 0.845 0.183
```

total moment = 0.00 μB per formula unit
energy above the most stable polymorph in this dataset = 0.09 eV/f.u.
energy relative to the elements = -0.1864 eV/atom
space group = Cm

***

Material: YScCd
Method: DFT, GGA-PBE
State: optimized geometry

POSCAR file:
```
YScCd
1.0
-2.086 -3.330 -3.482
2.630 -1.849 4.151
-5.244 -0.128 3.265
Sc Cd Y
2 2 2
direct
0.667 0.333 0.750
0.333 0.667 0.250
0.000 0.000 0.500
0.000 0.000 0.000
0.667 0.333 0.250
0.333 0.667 0.750
```

total moment = 0.00 μB per formula unit
energy above the most stable polymorph in this dataset = 0.77 eV/f.u.
energy relative to the elements = 0.0409 eV/atom
space group = P6_3/mmc